# 1
Ce3ScSb2 after structural relaxation, computed with PBE.

energy: -6.11 eV/atom
M_tot: 0.434 μB/atom

```
Ce3ScSb2
1.0
-3.9589 -1.4543 0.3638
-0.1077 -0.8829 -4.7022
4.9814 -6.5097 3.5412
Ce Sc Sb
3 1 2
direct
0.5000 0.5000 0.0000
0.8282 0.3285 0.6567
0.1718 0.6715 0.3433
0.0000 0.0000 0.0000
0.3666 0.8669 0.7335
0.6334 0.1331 0.2665
```

# 2
Ce2ScSb after structural relaxation, computed with PBE.

distance to the lowest polymorph of the same formula: 1.26 eV per formula unit
energy: -5.81 eV/atom
M_tot: 0.765 μB/atom

```
Ce2ScSb
1.0
-3.6560 3.9069 -0.5233
-2.8029 1.6496 4.2810
0.9331 4.8557 2.1158
Sc Sb Ce
1 1 2
direct
0.5000 0.5000 0.5000
0.0000 0.0000 0.0000
0.7501 0.7501 0.7497
0.2499 0.2499 0.2503
```

# 3
CeSc5Sb3 after structural relaxation, computed with PBE.

energy: -6.23 eV/atom
M_tot: 0.153 μB/atom

```
CeSc5Sb3
1.0
6.1651 0.0000 0.0000
0.0000 7.6220 -4.4007
0.0000 0.0005 8.8020
Ce Sc Sb
2 10 6
direct
0.0000 0.0000 0.0000
0.5000 0.0000 0.0000
0.0000 0.6666 0.3333
0.5000 0.3334 0.6667
0.0000 0.3334 0.6667
0.5000 0.6666 0.3333
0.7500 0.6710 0.6711
0.7500 0.0000 0.3289
0.7500 0.3289 0.0000
0.2500 0.3290 0.3289
0.2500 0.0000 0.6711
0.2500 0.6711 0.0000
0.7500 0.3422 0.3422
0.7500 0.0000 0.6578
0.7500 0.6577 0.0000
0.2500 0.6578 0.6578
0.2500 0.0000 0.3422
0.2500 0.3423 0.0000
```

> The highest energy belongs to which entry?

Ce2ScSb